The following is a PBE calculation of a relaxed structure of Ca2LaCuPt, from Alexandria.

```
5
Lattice="5.1646 0.0000 0.0000 0.0000 5.0544 0.0000 0.0000 0.0000 5.1646" Properties=species:S:1:pos:R:3 pbc="T T T"
Ca 0.0000 0.0000 2.5823
Ca 2.5823 0.0000 0.0000
Cu 0.0000 0.0000 0.0000
Pt 0.0000 2.5272 0.0000
La 2.5823 2.5272 2.5823
```

Values from the calculation:
Total magnetic moment   0.00 μB/cell
DFT formation energy   -0.1 eV/f.u.
Crystal system   tetragonal
Uncorrected energy   -19.2 eV for the cell shown
N(E_F)   3.755 states/eV/cell
Symmetry   P4/mmm (123)